(1)
This record from the Alexandria database describes CaCr2Co after structural relaxation. The functional is PBE.

Cell and atoms, written as CIF:
```
data_CaCr2Co
_chemical_formula_sum 'Ca3 Cr6 Co3'
_cell_length_a 2.9860
_cell_length_b 2.9860
_cell_length_c 26.6631
_cell_angle_alpha 90.00
_cell_angle_beta 90.00
_cell_angle_gamma 120.00
_space_group_name_H-M_alt 'R -3 m'
_space_group_IT_number 166
_space_group_name_Hall '-R 3 2"'
loop_
_atom_site_label
_atom_site_type_symbol
_atom_site_fract_x
_atom_site_fract_y
_atom_site_fract_z
Ca1 Ca 0.0000 0.0000 0.0000
Cr1 Cr 0.0000 0.0000 0.2340
Co1 Co 0.0000 0.0000 0.5000
```

Energy above the lowest structure with this stoichiometry ... 509 meV per atom
Volume ... 205.89 Å³/cell
Formation energy ... 0.953 eV/atom



(2)
This record from the Alexandria database describes CaCr2Co after structural relaxation. The functional is PBE.

Cell and atoms, written as CIF:
```
data_CaCr2Co
_chemical_formula_sum 'Ca2 Cr4 Co2'
_cell_length_a 3.568
_cell_length_b 3.568
_cell_length_c 9.190
_cell_angle_alpha 90.00
_cell_angle_beta 90.00
_cell_angle_gamma 90.00
_space_group_name_H-M_alt 'I 4/m m m'
_space_group_IT_number 139
_space_group_name_Hall '-I 4 2'
loop_
_atom_site_label
_atom_site_type_symbol
_atom_site_fract_x
_atom_site_fract_y
_atom_site_fract_z
Ca1 Ca 0.000 0.000 0.000
Cr1 Cr 0.000 0.500 0.250
Co1 Co 0.000 0.000 0.500
```

Energy above the lowest structure with this stoichiometry ... 490 meV per atom
Volume ... 117.01 Å³/cell
Formation energy ... 0.934 eV/atom



(3)
This record from the Alexandria database describes CaCr2Co after structural relaxation. The functional is PBE.

Cell and atoms, written as CIF:
```
data_CaCr2Co
_chemical_formula_sum 'Ca1 Cr2 Co1'
_cell_length_a 3.199
_cell_length_b 4.245
_cell_length_c 4.709
_cell_angle_alpha 90.00
_cell_angle_beta 90.00
_cell_angle_gamma 90.00
_space_group_name_H-M_alt 'P m m m'
_space_group_IT_number 47
_space_group_name_Hall '-P 2 2'
loop_
_atom_site_label
_atom_site_type_symbol
_atom_site_fract_x
_atom_site_fract_y
_atom_site_fract_z
Ca1 Ca 0.000 0.000 0.000
Cr1 Cr 0.000 0.500 0.500
Cr2 Cr 0.500 0.000 0.500
Co1 Co 0.500 0.500 0.000
```

Energy above the lowest structure with this stoichiometry ... 210 meV per atom
Volume ... 63.95 Å³/cell
Formation energy ... 0.654 eV/atom